No. 1
## Li4CuOs (SCAN)

Data for Li4CuOs at its PBEsol-relaxed geometry.

## Properties
Total moment ... 0.3 μB per formula unit
Raw total energy ... -93.99 eV/cell
Formation energy ... 0.441 eV per atom
Fermi-level density of states ... 0.896 states/eV per atom
Calculated density ... 6.6 g cm⁻³

a b c (Å): 4.6435 4.6435 4.6435
angles (deg): 60.00 60.00 60.00
With the nearest neighbours (Å) after each atom.
Fractional coordinates of all 6 atoms:
1 Li 0.3760 0.3760 0.3760  6 Li 2.30-2.34
2 Li 0.3760 0.3760 0.8720  6 Li 2.30-2.34
3 Li 0.3760 0.8720 0.3760  6 Li 2.30-2.34
4 Li 0.8720 0.3760 0.3760  6 Li 2.30-2.34
5 Cu 0.0000 0.0000 0.0000  12 Li 2.72, 4 Os 2.84
6 Os 0.7500 0.7500 0.7500  12 Li 2.72, 4 Cu 2.84

=====

No. 2
## RbNaCd2 (SCAN)

Data for RbNaCd2 at its PBEsol-relaxed geometry.

## Properties
Total moment ... 0.0 μB per formula unit
Raw total energy ... -342.26 eV/cell
Formation energy ... 0.055 eV per atom
Fermi-level density of states ... 0.570 states/eV per atom
Calculated density ... 4.2 g cm⁻³

a b c (Å): 8.1031 8.1031 8.1031
angles (deg): 90.00 90.00 90.00
With the nearest neighbours (Å) after each atom.
Fractional coordinates of all 16 atoms:
1 Rb 0.0000 0.0000 0.0000  8 Cd 3.51
2 Rb 0.0000 0.5000 0.5000  8 Cd 3.51
3 Rb 0.5000 0.0000 0.5000  8 Cd 3.51
4 Rb 0.5000 0.5000 0.0000  8 Cd 3.51
5 Na 0.0000 0.0000 0.5000  8 Cd 3.51
6 Na 0.0000 0.5000 0.0000  8 Cd 3.51
7 Na 0.5000 0.0000 0.0000  8 Cd 3.51
8 Na 0.5000 0.5000 0.5000  8 Cd 3.51
9 Cd 0.2500 0.2500 0.2500  4 Na 3.51, 4 Rb 3.51
10 Cd 0.2500 0.2500 0.7500  4 Na 3.51, 4 Rb 3.51
11 Cd 0.2500 0.7500 0.2500  4 Na 3.51, 4 Rb 3.51
12 Cd 0.2500 0.7500 0.7500  4 Na 3.51, 4 Rb 3.51
13 Cd 0.7500 0.2500 0.2500  4 Na 3.51, 4 Rb 3.51
14 Cd 0.7500 0.2500 0.7500  4 Na 3.51, 4 Rb 3.51
15 Cd 0.7500 0.7500 0.2500  4 Na 3.51, 4 Rb 3.51
16 Cd 0.7500 0.7500 0.7500  4 Na 3.51, 4 Rb 3.51

=====

No. 3
## KCdHg2 (SCAN)

Data for KCdHg2 at its PBEsol-relaxed geometry.

## Properties
Total moment ... 0.0 μB per formula unit
Raw total energy ... -527.53 eV/cell
Formation energy ... -0.192 eV per atom
Fermi-level density of states ... 0.437 states/eV per atom
Calculated density ... 7.6 g cm⁻³

a b c (Å): 4.9236 4.9236 17.3146
angles (deg): 90.00 90.00 120.00
With the nearest neighbours (Å) after each atom.
Fractional coordinates of all 12 atoms:
1 K 0.0000 0.0000 0.0000  4 Cd 3.44-3.68, 7 Hg 3.51-3.69
2 K 0.3333 0.6667 0.6667  4 Cd 3.44-3.68, 7 Hg 3.51-3.69
3 K 0.6667 0.3333 0.3333  4 Cd 3.44-3.68, 7 Hg 3.51-3.69
4 Cd 0.0000 0.0000 0.1984  6 Hg 2.84-3.08
5 Cd 0.3333 0.6667 0.8651  6 Hg 2.84-3.08
6 Cd 0.6667 0.3333 0.5318  6 Hg 2.84-3.08
7 Hg 0.0000 0.0000 0.5305  3 Cd 2.84, 3 Hg 3.07
8 Hg 0.0000 0.0000 0.7973  3 Hg 3.07, 3 Cd 3.08
9 Hg 0.3333 0.6667 0.1972  3 Cd 2.84, 3 Hg 3.07
10 Hg 0.3333 0.6667 0.4639  3 Hg 3.07, 3 Cd 3.08
11 Hg 0.6667 0.3333 0.1306  3 Hg 3.07, 3 Cd 3.08
12 Hg 0.6667 0.3333 0.8638  3 Cd 2.84, 3 Hg 3.07

=====

No. 4
## TcPb2Br (SCAN)

Data for TcPb2Br at its PBEsol-relaxed geometry.

## Properties
ΔE to the lowest computed polymorph ... 0.0000 eV/atom
Total moment ... 0.0 μB per formula unit
Raw total energy ... -204.80 eV/cell
Fermi-level density of states ... 0.680 states/eV per atom
Calculated density ... 10.4 g cm⁻³

a b c (Å): 3.3691 3.4076 8.2098
angles (deg): 90.00 90.26 90.00
With the nearest neighbours (Å) after each atom.
Fractional coordinates of all 4 atoms:
1 Tc 0.0000 0.0000 0.0000  8 Pb 2.88
2 Pb 0.4973 0.5000 0.8046  4 Tc 2.88, 2 Br 3.03, 1 Pb 3.21
3 Pb 0.5027 0.5000 0.1955  4 Tc 2.88, 2 Br 3.03, 1 Pb 3.21
4 Br 0.5000 0.0000 0.5000  4 Pb 3.03, 2 Br 3.37

=====

Question: What is the formula in the second record?
Answer: RbNaCd2